Entry 1:
A relaxed structure of SeCl3, computed with PBE.

The density of states at the Fermi level comes out at 3.26 states/eV/cell. Its total energy is -1.67 eV per atom.

It has space group P4/mmm (No. 123), with a = 3.1236 Å, b = 3.1236 Å, c = 9.5142 Å, α = 90.00°, β = 90.00° and γ = 90.00°. Symmetry generates all atoms from Se at (0.0000, 0.0000, 0.0000), Cl at (0.0000, 0.0000, 0.5000) and Cl at (0.5000, 0.5000, 0.1857).

***

Entry 2:
A relaxed structure of SeCl4, computed with PBE.

The density of states at the Fermi level comes out at 12.18 states/eV/cell. Its total energy is -1.84 eV per atom. The value obtained for the offset from the most stable computed form is 0.682 eV per atom.

It has space group Im-3m (No. 229), with a = 6.2430 Å, b = 6.2430 Å, c = 6.2430 Å, α = 90.00°, β = 90.00° and γ = 90.00°. Symmetry generates all atoms from Se at (0.0000, 0.0000, 0.0000) and Cl at (0.2500, 0.2500, 0.2500).

***

Entry 3:
A relaxed structure of SeCl, computed with PBE.

The density of states at the Fermi level comes out at 3.24 states/eV/cell. Its total energy is -2.61 eV per atom.

It has space group Imma (No. 74), with a = 3.4486 Å, b = 7.6332 Å, c = 9.1408 Å, α = 90.00°, β = 90.00° and γ = 90.00°. Symmetry generates all atoms from Se at (0.0000, 0.2500, 0.1571) and Cl at (0.0000, 0.2500, 0.5696).

***

Entry 4:
A relaxed structure of SeCl, computed with PBE.

The density of states at the Fermi level comes out at 0.47 states/eV/cell. Its total energy is -2.57 eV per atom.

It has space group P1 (No. 1), with a = 3.1489 Å, b = 3.4685 Å, c = 5.4528 Å, α = 108.52°, β = 106.35° and γ = 90.31°. Symmetry generates all atoms from Se at (0.0000, 0.0000, 0.0000) and Cl at (0.2139, 0.2191, 0.4363).

***

Entry 5:
A relaxed structure of SeCl3, computed with PBE.

The density of states at the Fermi level comes out at 4.70 states/eV/cell. Its total energy is -1.61 eV per atom.

It has space group P4/mmm (No. 123), with a = 3.4630 Å, b = 3.4630 Å, c = 7.0603 Å, α = 90.00°, β = 90.00° and γ = 90.00°. Symmetry generates all atoms from Se at (0.0000, 0.0000, 0.0000), Cl at (0.0000, 0.0000, 0.5000) and Cl at (0.5000, 0.5000, 0.2132).

***

Entry 6:
A relaxed structure of SeCl, computed with PBE.

The density of states at the Fermi level comes out at 7.49 states/eV/cell. Its total energy is -2.75 eV per atom.

It has space group P4/m (No. 83), with a = 12.7790 Å, b = 12.7790 Å, c = 3.8559 Å, α = 90.00°, β = 90.00° and γ = 90.00°. Symmetry generates all atoms from Se at (0.0250, 0.4099, 0.0000), Se at (0.3919, 0.5741, 0.5000), Cl at (0.1336, 0.6566, 0.0000) and Cl at (0.2038, 0.4110, 0.5000).

***

Entry 7:
A relaxed structure of SeCl, computed with PBE.

The density of states at the Fermi level comes out at 1.43 states/eV/cell. Its total energy is -2.26 eV per atom.

It has space group Cmmm (No. 65), with a = 3.5914 Å, b = 7.9495 Å, c = 3.8454 Å, α = 90.00°, β = 90.00° and γ = 90.00°. Symmetry generates all atoms from Se at (0.0000, 0.0000, 0.0000) and Cl at (0.0000, 0.5000, 0.5000).

***

Entry 8:
A relaxed structure of SeCl3, computed with PBE.

The density of states at the Fermi level comes out at 0.50 states/eV/cell. Its total energy is -2.42 eV per atom.

It has space group Pm-3m (No. 221), with a = 4.9845 Å, b = 4.9845 Å, c = 4.9845 Å, α = 90.00°, β = 90.00° and γ = 90.00°. Symmetry generates all atoms from Se at (0.0000, 0.0000, 0.0000) and Cl at (0.0000, 0.0000, 0.5000).

***

Entry 9:
A relaxed structure of SeCl3, computed with PBE.

The density of states at the Fermi level comes out at 3.24 states/eV/cell. Its total energy is -2.04 eV per atom.

It has space group P6_3/mmc (No. 194), with a = 8.1673 Å, b = 8.1673 Å, c = 6.7186 Å, α = 90.00°, β = 90.00° and γ = 120.00°. Symmetry generates all atoms from Se at (0.0000, 0.0000, 0.0000), Se at (0.3333, 0.6667, 0.2500), Cl at (0.0000, 0.5000, 0.0000) and Cl at (0.1303, 0.2606, 0.7500).

***

Entry 10:
A relaxed structure of SeCl4, computed with PBE.

The density of states at the Fermi level comes out at 0.00 states/eV/cell. Its total energy is -2.41 eV per atom. The value obtained for the offset from the most stable computed form is 0.109 eV per atom.

It has space group C2/c (No. 15), with a = 12.4467 Å, b = 6.4514 Å, c = 11.9636 Å, α = 90.00°, β = 116.89° and γ = 90.00°. Symmetry generates all atoms from Se at (0.0000, 0.0819, 0.2500), Cl at (0.0198, 0.2876, 0.4159) and Cl at (0.1664, 0.1254, 0.8107).

***

Entry 11:
A relaxed structure of SeCl3, computed with PBE.

The density of states at the Fermi level comes out at 4.55 states/eV/cell. Its total energy is -2.18 eV per atom.

It has space group Immm (No. 71), with a = 3.3954 Å, b = 6.3746 Å, c = 9.8214 Å, α = 90.00°, β = 90.00° and γ = 90.00°. Symmetry generates all atoms from Se at (0.0000, 0.0000, 0.0000), Cl at (0.0000, 0.0000, 0.5000) and Cl at (0.0000, 0.5000, 0.3223).

***

Entry 12:
A relaxed structure of SeCl, computed with PBE.

The density of states at the Fermi level comes out at 3.95 states/eV/cell. Its total energy is -2.64 eV per atom.

It has space group Pnma (No. 62), with a = 7.7638 Å, b = 3.5566 Å, c = 9.0598 Å, α = 90.00°, β = 90.00° and γ = 90.00°. Symmetry generates all atoms from Se at (0.0283, 0.2500, 0.0916) and Cl at (0.2441, 0.7500, 0.2213).

***

Formation energy from raw total energies across the listed records, respectively: 0.58, 0.34, 0.06, 0.09, 0.64, -0.08, 0.40, -0.16, 0.22, -0.24, 0.08, 0.02 eV/atom.
V across the listed records, respectively: 93, 243, 241, 54, 85, 630, 110, 124, 388, 857, 213, 250 Å³ per cell.